Entry from Alexandria: an optimized crystal structure of CaI2Cl (GGA-PBEsol).

## Properties
- D(E_F): 1.537 states/eV/atom
- Uncorrected formation energy: -0.949 eV/atom
- Space group: Fm-3m

Geometry as POSCAR:
```
CaI2Cl
1.0
7.722 0.000 0.000
0.000 7.722 0.000
0.000 0.000 7.722
Ca I Cl
4 8 4
Direct
0.000 0.000 0.000 Ca
0.000 0.500 0.500 Ca
0.500 0.000 0.500 Ca
0.500 0.500 0.000 Ca
0.250 0.250 0.250 I
0.250 0.250 0.750 I
0.250 0.750 0.250 I
0.250 0.750 0.750 I
0.750 0.250 0.250 I
0.750 0.250 0.750 I
0.750 0.750 0.250 I
0.750 0.750 0.750 I
0.000 0.000 0.500 Cl
0.000 0.500 0.000 Cl
0.500 0.000 0.000 Cl
0.500 0.500 0.500 Cl
```

Entry from Alexandria: an optimized crystal structure of RbNb2InTe (GGA-PBEsol).

## Properties
- D(E_F): 1.135 states/eV/atom
- Uncorrected formation energy: 1.243 eV/atom
- Space group: P4/mmm

Geometry as POSCAR:
```
RbNb2InTe
1.0
5.149 0.000 0.000
0.000 5.149 0.000
0.000 0.000 6.119
Rb Nb In Te
1 2 1 1
Direct
0.000 0.000 0.000 Rb
0.000 0.500 0.500 Nb
0.500 0.000 0.500 Nb
0.500 0.500 0.000 In
0.000 0.000 0.500 Te
```

Entry from Alexandria: an optimized crystal structure of La2InGa2 (GGA-PBEsol).

## Properties
- D(E_F): 0.949 states/eV/atom
- Space group: P4/mbm
- Formation enthalpy at 0 K: -60.7 kJ per mole of atoms

Geometry as POSCAR:
```
La2InGa2
1.0
7.386 0.000 0.000
0.000 7.386 0.000
0.000 0.000 4.631
La In Ga
4 2 4
Direct
0.175 0.325 0.000 La
0.325 0.825 0.000 La
0.675 0.175 0.000 La
0.825 0.675 0.000 La
0.000 0.000 0.500 In
0.500 0.500 0.500 In
0.123 0.623 0.500 Ga
0.377 0.123 0.500 Ga
0.623 0.877 0.500 Ga
0.877 0.377 0.500 Ga
```

Entry from Alexandria: an optimized crystal structure of LiLuPd2 (GGA-PBEsol).

## Properties
- D(E_F): 0.347 states/eV/atom
- Space group: Fm-3m
- Formation enthalpy at 0 K: -69.7 kJ per mole of atoms

Geometry as POSCAR:
```
LiLuPd2
1.0
6.424 0.000 0.000
0.000 6.424 0.000
0.000 0.000 6.424
Li Lu Pd
4 4 8
Direct
0.000 0.000 0.000 Li
0.000 0.500 0.500 Li
0.500 0.000 0.500 Li
0.500 0.500 0.000 Li
0.000 0.000 0.500 Lu
0.000 0.500 0.000 Lu
0.500 0.000 0.000 Lu
0.500 0.500 0.500 Lu
0.250 0.250 0.250 Pd
0.250 0.250 0.750 Pd
0.250 0.750 0.250 Pd
0.250 0.750 0.750 Pd
0.750 0.250 0.250 Pd
0.750 0.250 0.750 Pd
0.750 0.750 0.250 Pd
0.750 0.750 0.750 Pd
```

Entry from Alexandria: an optimized crystal structure of MnCSO7 (GGA-PBEsol).

## Properties
- Uncorrected formation energy: -1.287 eV/atom
- Space group: P2_1/m

Geometry as POSCAR:
```
MnCSO7
1.0
5.050 0.000 0.000
0.000 6.112 0.000
-0.748 0.000 7.945
Mn C S O
2 2 2 14
Direct
0.214 0.250 0.313 Mn
0.786 0.750 0.687 Mn
0.296 0.250 0.034 C
0.704 0.750 0.966 C
0.263 0.750 0.421 S
0.737 0.250 0.579 S
0.057 0.250 0.096 O
0.111 0.750 0.568 O
0.195 0.561 0.309 O
0.195 0.939 0.309 O
0.342 0.250 0.888 O
0.448 0.250 0.522 O
0.476 0.250 0.170 O
0.524 0.750 0.830 O
0.552 0.750 0.478 O
0.658 0.750 0.112 O
0.805 0.061 0.691 O
0.805 0.439 0.691 O
0.889 0.250 0.432 O
0.943 0.750 0.904 O
```

Entry from Alexandria: an optimized crystal structure of Y4In5 (GGA-PBEsol).

## Properties
- D(E_F): 0.672 states/eV/atom
- Space group: P6_3/mcm
- Formation enthalpy at 0 K: -47.1 kJ per mole of atoms

Geometry as POSCAR:
```
Y4In5
1.0
9.124 0.000 0.000
-4.562 7.901 0.000
0.000 0.000 6.348
Y In
8 10
Direct
0.000 0.000 0.000 Y
0.000 0.000 0.500 Y
0.000 0.368 0.250 Y
0.000 0.632 0.750 Y
0.368 0.000 0.250 Y
0.368 0.368 0.750 Y
0.632 0.000 0.750 Y
0.632 0.632 0.250 Y
0.000 0.301 0.750 In
0.000 0.699 0.250 In
0.301 0.000 0.750 In
0.301 0.301 0.250 In
0.333 0.667 0.000 In
0.333 0.667 0.500 In
0.667 0.333 0.000 In
0.667 0.333 0.500 In
0.699 0.000 0.250 In
0.699 0.699 0.750 In
```

Entry from Alexandria: an optimized crystal structure of RbIn2Te2 (GGA-PBEsol).

## Properties
- D(E_F): 0.190 states/eV/atom
- Uncorrected formation energy: -0.474 eV/atom
- Space group: I4/mmm

Geometry as POSCAR:
```
RbIn2Te2
1.0
5.705 0.000 0.000
0.000 5.705 0.000
0.000 0.000 10.148
Rb In Te
2 4 4
Direct
0.000 0.000 0.000 Rb
0.500 0.500 0.500 Rb
0.000 0.000 0.356 In
0.000 0.000 0.644 In
0.500 0.500 0.144 In
0.500 0.500 0.856 In
0.000 0.500 0.250 Te
0.000 0.500 0.750 Te
0.500 0.000 0.250 Te
0.500 0.000 0.750 Te
```

Entry from Alexandria: an optimized crystal structure of YZr4O10 (GGA-PBEsol).

## Properties
- D(E_F): 0.493 states/eV/atom
- Uncorrected formation energy: -3.312 eV/atom
- Space group: I4/m

Geometry as POSCAR:
```
YZr4O10
1.0
-4.051 4.051 2.559
4.051 -4.051 2.559
4.051 4.051 -2.559
Y Zr O
1 4 10
Direct
0.000 0.000 0.000 Y
0.200 0.602 0.801 Zr
0.398 0.200 0.598 Zr
0.602 0.800 0.402 Zr
0.800 0.398 0.199 Zr
0.050 0.156 0.691 O
0.156 0.466 0.106 O
0.250 0.750 0.500 O
0.360 0.050 0.894 O
0.466 0.360 0.309 O
0.534 0.640 0.691 O
0.640 0.950 0.106 O
0.750 0.250 0.500 O
0.844 0.534 0.894 O
0.950 0.844 0.309 O
```